Material: SrZr2TiGa
Method: DFT, PBE
State: relaxed

abc: 4.991 5.316 4.991
angles: 90.00 90.00 90.00
Atoms (fractional coordinates):
Sr 0.500 0.500 0.500
Ga 0.000 0.500 0.000
Zr 0.000 0.000 0.500
Zr 0.500 0.000 0.000
Ti 0.000 0.000 0.000

calculated density = 4.9 g/cm³
E_form = 0.383 eV per atom
N(E_F) = 5.63 states/eV/f.u.


Material: AgHICl2
Method: DFT, PBE
State: relaxed

abc: 5.715 5.366 5.715
angles: 90.00 90.00 90.00
Atoms (fractional coordinates):
I 0.000 0.000 0.000
H 0.500 0.500 0.500
Ag 0.000 0.500 0.000
Cl 0.000 0.000 0.500
Cl 0.500 0.000 0.000

calculated total energy = -1.7548 eV per atom
calculated density = 2.9 g/cm³
N(E_F) = 1.37 states/eV/f.u.


Material: TaV2Ir
Method: DFT, PBE
State: relaxed

abc: 7.044 7.044 5.628
angles: 51.26 51.26 90.00
Atoms (fractional coordinates):
Ir 0.000 0.000 0.000
Ir 0.750 0.250 0.500
Ta 0.500 0.500 0.000
Ta 0.250 0.750 0.500
V 0.647 0.125 0.250
V 0.103 0.625 0.250
V 0.375 0.353 0.750
V 0.875 0.897 0.750

offset from the most stable computed form = 595.5 meV per atom
calculated density = 12.1 g/cm³
E_form = 0.281 eV per atom
N(E_F) = 4.54 states/eV/f.u.


Material: MnAg2Hg
Method: DFT, PBE
State: relaxed

abc: 9.443 9.443 9.443
angles: 18.52 18.52 18.52
Atoms (fractional coordinates):
Ag 0.003 0.003 0.003
Ag 0.253 0.253 0.253
Hg 0.497 0.497 0.497
Mn 0.747 0.747 0.747

calculated density = 10.5 g/cm³
E_form = 0.238 eV per atom
N(E_F) = 2.19 states/eV/f.u.